# Nd5Ti4FeO17 | Alexandria | GGA+U | optimized geometry
# **Total energy**: -8.5177 eV per atom
# **M_tot**: 20.00 μB per cell
data_Nd5Ti4FeO17
_cell_length_a 7.746
_cell_length_b 5.504
_cell_length_c 32.134
_cell_angle_alpha 90.00
_cell_angle_beta 96.98
_cell_angle_gamma 90.00
_symmetry_space_group_name_H-M 'P 1 21/c 1'
_symmetry_Int_Tables_number 14
loop_
_symmetry_equiv_pos_as_xyz
'x,y,z'
'-x,-y,-z'
'-x,y+1/2,-z+1/2'
'x,-y+1/2,z+1/2'
loop_
_atom_site_label
_atom_site_type_symbol
_atom_site_fract_x
_atom_site_fract_y
_atom_site_fract_z
_atom_site_occupancy
Nd1 Nd 0.143 0.113 0.279 1
Nd2 Nd 0.212 0.522 0.421 1
Nd3 Nd 0.255 0.509 0.008 1
Nd4 Nd 0.300 0.003 0.096 1
Nd5 Nd 0.355 0.542 0.201 1
Ti1 Ti 0.046 0.518 0.093 1
Ti2 Ti 0.076 0.041 0.176 1
Ti3 Ti 0.408 0.552 0.321 1
Ti4 Ti 0.453 0.015 0.406 1
Fe1 Fe 0.000 0.000 0.000 1
Fe2 Fe 0.500 0.000 0.000 1
O1 O 0.029 0.706 0.963 1
O2 O 0.034 0.202 0.120 1
O3 O 0.069 0.714 0.552 1
O4 O 0.081 0.189 0.711 1
O5 O 0.130 0.714 0.138 1
O6 O 0.134 0.675 0.720 1
O7 O 0.165 0.049 0.829 1
O8 O 0.204 0.084 0.409 1
O9 O 0.248 0.088 0.996 1
O10 O 0.291 0.073 0.582 1
O11 O 0.337 0.113 0.171 1
O12 O 0.368 0.661 0.796 1
O13 O 0.407 0.156 0.774 1
O14 O 0.415 0.698 0.381 1
O15 O 0.435 0.706 0.964 1
O16 O 0.485 0.714 0.553 1
O17 O 0.493 0.210 0.361 1